# 1
Density functional theory data (PBE) for an optimized crystal structure of ZnGeO2.

Output
energy above the lowest structure with this stoichiometry	40.2	meV per atom
raw total energy	-4.927	eV per atom
E_form (uncorrected)	-0.9746	eV per atom

The structure in CIF format:
```
data_ZnGeO2
_chemical_formula_sum 'Zn2 Ge2 O4'
_cell_length_a 4.8952
_cell_length_b 4.8952
_cell_length_c 5.9519
_cell_angle_alpha 65.72
_cell_angle_beta 65.72
_cell_angle_gamma 90.00
_space_group_name_H-M_alt 'P 1'
_space_group_IT_number 1
_space_group_name_Hall 'P 1'
loop_
_atom_site_label
_atom_site_fract_x
_atom_site_fract_y
_atom_site_fract_z
Ge1 0.0000 0.0000 0.0000
Ge2 0.7500 0.2500 0.5000
Zn1 0.5000 0.5000 0.0000
Zn2 0.2500 0.7500 0.5000
O1 0.5918 0.1250 0.2500
O2 0.1582 0.6250 0.2500
O3 0.3750 0.4082 0.7500
O4 0.8750 0.8418 0.7500
```



# 2
Density functional theory data (PBE) for an optimized crystal structure of RbPbSeBr6.

Output
raw total energy	-2.645	eV per atom
E_form (uncorrected)	-0.6227	eV per atom

The structure in CIF format:
```
data_RbPbSeBr6
_chemical_formula_sum 'Rb1 Pb1 Se1 Br6'
_cell_length_a 7.5405
_cell_length_b 7.5405
_cell_length_c 7.4974
_cell_angle_alpha 90.00
_cell_angle_beta 90.00
_cell_angle_gamma 60.00
_space_group_name_H-M_alt 'P 1'
_space_group_IT_number 1
_space_group_name_Hall 'P 1'
loop_
_atom_site_label
_atom_site_fract_x
_atom_site_fract_y
_atom_site_fract_z
Rb1 0.0000 0.0000 0.0000
Pb1 0.6667 0.6667 0.5000
Se1 0.3333 0.3333 0.5000
Br1 0.0311 0.3641 0.2744
Br2 0.3641 0.0311 0.7256
Br3 0.6047 0.3642 0.7256
Br4 0.0311 0.6048 0.7256
Br5 0.3641 0.6048 0.2744
Br6 0.6047 0.0311 0.2744
```



One value per record, in order, for DOS at the Fermi energy: 0.0 6.3 states/eV/cell.